No. 1
The following is a PBE-GGA calculation of Fe2IrW after structural relaxation, from Alexandria.

**Calculated formation energy**: 115.1 meV/atom
**Calculated total energy**: -38.279 eV/cell

Cell: 2.662 2.662 7.301 Å, 90.00 90.00 89.99°
Atoms (fractional coordinates):
Fe1 0.000 0.000 0.008
Fe2 0.000 0.000 0.492
W1 0.500 0.500 0.750
Ir1 0.500 0.500 0.250

---

No. 2
The following is a PBE-GGA calculation of MgNiSe after structural relaxation, from Alexandria.

**Calculated total energy**: -47.014 eV/cell
**Formation energy (no corrections)**: -0.298 eV per atom

Cell: 5.367 6.924 5.464 Å, 90.00 90.00 90.00°
Atoms (fractional coordinates):
Se1 0.500 0.000 0.500
Se2 0.000 0.000 0.000
Se3 0.000 0.500 0.000
Se4 0.500 0.500 0.500
Ni1 0.264 0.250 0.189
Ni2 0.236 0.750 0.689
Ni3 0.764 0.250 0.311
Ni4 0.736 0.750 0.811
Mg1 0.381 0.750 0.135
Mg2 0.619 0.250 0.865
Mg3 0.119 0.250 0.635
Mg4 0.881 0.750 0.365